(1)
The following is a PBE calculation of a relaxed structure of Sr2ScHg, from Alexandria via LeMat-Bulk.

Summary:
For the total energy, the calculation gives -2.383 eV per atom. The value obtained for the density of states at the Fermi level is 1.43 states/eV/atom. The calculation puts the relative energy among the computed polymorphs at 0.246 eV per atom. The calculation puts the formation energy at 0.12 eV per atom.

a b c (Å): 5.659 5.659 5.659
angles (deg): 60.00 60.00 60.00
Positions (direct):
1 Sr 0.000 0.000 0.000
2 Sc 0.750 0.750 0.750
3 Sr 0.250 0.250 0.250
4 Hg 0.500 0.500 0.500

---

(2)
The following is a PBE calculation of a relaxed structure of Zn2NiP2, from Alexandria via LeMat-Bulk.

Summary:
For the total energy, the calculation gives -3.896 eV per atom. The value obtained for the density of states at the Fermi level is 0.42 states/eV/atom. The calculation puts the formation energy at -0.07 eV per atom.

a b c (Å): 5.673 5.673 4.939
angles (deg): 90.00 90.00 90.00
Positions (direct):
1 Zn 0.829 0.671 0.500
2 Ni 0.000 0.000 0.000
3 Ni 0.500 0.500 0.000
4 P 0.862 0.638 0.000
5 Zn 0.171 0.329 0.500
6 Zn 0.329 0.829 0.500
7 Zn 0.671 0.171 0.500
8 P 0.638 0.138 0.000
9 P 0.362 0.862 0.000
10 P 0.138 0.362 0.000

---

(3)
The following is a PBE calculation of a relaxed structure of CaTeBrCl, from Alexandria via LeMat-Bulk.

Summary:
For the total energy, the calculation gives -3.421 eV per atom. The calculation puts the relative energy among the computed polymorphs at 0.019 eV per atom. The calculation puts the formation energy from raw total energies at -121 kJ/mol of atoms.

a b c (Å): 6.353 4.608 10.980
angles (deg): 90.00 125.00 90.00
Positions (direct):
1 Te 0.147 0.000 0.278
2 Br 0.457 0.500 0.085
3 Te 0.147 0.500 0.778
4 Br 0.457 0.000 0.585
5 Ca 0.669 0.500 0.801
6 Ca 0.669 0.000 0.301
7 Cl 0.844 0.000 0.976
8 Cl 0.844 0.500 0.476

---

(4)
The following is a PBE calculation of a relaxed structure of TiZn3Au3, from Alexandria via LeMat-Bulk.

Summary:
For the total energy, the calculation gives -3.265 eV per atom. The value obtained for the density of states at the Fermi level is 0.60 states/eV/atom. The calculation puts the relative energy among the computed polymorphs at 0.021 eV per atom. The calculation puts the formation energy at -0.19 eV per atom.

a b c (Å): 6.776 6.776 7.263
angles (deg): 62.20 62.20 60.00
Positions (direct):
1 Zn 0.550 0.735 0.625
2 Au 0.923 0.198 0.188
3 Zn 0.450 0.265 0.375
4 Au 0.077 0.802 0.812
5 Zn 0.265 0.911 0.375
6 Au 0.308 0.077 0.812
7 Ti 0.661 0.661 0.017
8 Au 0.802 0.308 0.812
9 Ti 0.339 0.339 0.983
10 Au 0.692 0.923 0.188
11 Au 0.198 0.692 0.188
12 Zn 0.911 0.450 0.375
13 Zn 0.089 0.550 0.625
14 Zn 0.735 0.089 0.625